No. 1
Computed, not measured: an optimized crystal structure of RbPSO2 at the PBE level of DFT.

The total magnetization is 0.306 μB per atom. Its energy is -19.1 eV per formula unit.

Lattice parameters (Å, degrees): 4.255 4.255 4.482 90.00 90.00 90.00
Element x y z (fractional)
Rb  0.000  0.000  0.000
P  0.500  0.500  0.000
S  0.500  0.500  0.500
O  0.000  0.500  0.500
O  0.500  0.000  0.500

***

No. 2
Computed, not measured: an optimized crystal structure of RbPS2O at the PBE level of DFT.

The total magnetization is 0.535 μB per atom. As for the offset from the most stable computed form: 2036.0 meV/atom.

Lattice parameters (Å, degrees): 5.499 5.499 5.816 90.00 90.00 90.00
Element x y z (fractional)
Rb  0.000  0.000  0.000
P  0.000  0.000  0.500
S  0.000  0.500  0.000
S  0.500  0.000  0.000
O  0.500  0.500  0.500

***

No. 3
Computed, not measured: an optimized crystal structure of RbP2SO8 at the PBE level of DFT.

The total magnetization is 0.000 μB per atom. Its energy is -73.7 eV per formula unit.

Lattice parameters (Å, degrees): 4.692 4.692 8.826 102.74 102.74 64.81
Element x y z (fractional)
Rb  0.000  0.000  0.000
P  0.201  0.201  0.678
P  0.799  0.799  0.322
S  0.500  0.500  0.500
O  0.176  0.679  0.345
O  0.286  0.286  0.535
O  0.317  0.317  0.841
O  0.321  0.824  0.655
O  0.679  0.176  0.345
O  0.683  0.683  0.159
O  0.714  0.714  0.465
O  0.824  0.321  0.655